[1]
# PBE Hg2PbW, optimized geometry
data_Hg2PbW
_symmetry_space_group_name_H-M 'P 4/m m m'
_symmetry_Int_Tables_number 123
_symmetry_space_group_name_Hall '-P 4 2'
_cell_length_a 4.295
_cell_length_b 4.295
_cell_length_c 4.719
_cell_angle_alpha 90.00
_cell_angle_beta 90.00
_cell_angle_gamma 90.00
loop_
_atom_site_label
_atom_site_type_symbol
_atom_site_fract_x
_atom_site_fract_y
_atom_site_fract_z
_atom_site_occupancy
Hg1 Hg 0.000 0.500 0.000 1
Pb1 Pb 0.000 0.000 0.500 1
W1 W 0.500 0.500 0.500 1
# Raw total energy = -3.36 eV/atom
# Calculated formation energy = 0.957 eV/atom
# M_tot = 1.502 μB per formula unit



[2]
# PBE Hg2PbW, optimized geometry
data_Hg2PbW
_symmetry_space_group_name_H-M 'I -4 m 2'
_symmetry_Int_Tables_number 119
_symmetry_space_group_name_Hall 'I -4 -2'
_cell_length_a 4.248
_cell_length_b 4.248
_cell_length_c 9.474
_cell_angle_alpha 90.00
_cell_angle_beta 90.00
_cell_angle_gamma 90.00
loop_
_atom_site_label
_atom_site_type_symbol
_atom_site_fract_x
_atom_site_fract_y
_atom_site_fract_z
_atom_site_occupancy
Hg1 Hg 0.000 0.000 0.000 1
Hg2 Hg 0.000 0.500 0.250 1
Pb1 Pb 0.000 0.500 0.750 1
W1 W 0.000 0.000 0.500 1
# Raw total energy = -3.40 eV/atom
# Calculated formation energy = 0.914 eV/atom
# M_tot = 0.033 μB per formula unit



[3]
# PBE Hg2PbW, optimized geometry
data_Hg2PbW
_symmetry_space_group_name_H-M 'C m m m'
_symmetry_Int_Tables_number 65
_symmetry_space_group_name_Hall '-C 2 2'
_cell_length_a 6.005
_cell_length_b 9.231
_cell_length_c 3.088
_cell_angle_alpha 90.00
_cell_angle_beta 90.00
_cell_angle_gamma 90.00
loop_
_atom_site_label
_atom_site_type_symbol
_atom_site_fract_x
_atom_site_fract_y
_atom_site_fract_z
_atom_site_occupancy
Hg1 Hg 0.250 0.250 0.000 1
Pb1 Pb 0.000 0.000 0.500 1
W1 W 0.000 0.500 0.500 1
# Raw total energy = -3.48 eV/atom
# Calculated formation energy = 0.833 eV/atom
# M_tot = 0.000 μB per formula unit